Entry 1:
VASP calculation (GGA-PBE) on an optimized crystal structure of TiFeI2.

Structure (CIF):
```
data_TiFeI2
_chemical_formula_sum 'Ti4 Fe4 I8'
_symmetry_space_group_name_H-M 'I -4 2 d'
_symmetry_Int_Tables_number 122
_symmetry_space_group_name_Hall 'I -4 2bw'
_cell_length_a 6.121
_cell_length_b 6.121
_cell_length_c 12.445
_cell_angle_alpha 90.00
_cell_angle_beta 90.00
_cell_angle_gamma 90.00
loop_
_atom_site_label
_atom_site_fract_x
_atom_site_fract_y
_atom_site_fract_z
Ti1 0.000 0.000 0.000
Fe1 0.000 0.000 0.500
I1 0.223 0.250 0.625
```

---

Entry 2:
VASP calculation (GGA-PBE) on an optimized crystal structure of TiFe2I.

Structure (CIF):
```
data_TiFe2I
_chemical_formula_sum 'Ti4 Fe8 I4'
_symmetry_space_group_name_H-M 'I -4 2 d'
_symmetry_Int_Tables_number 122
_symmetry_space_group_name_Hall 'I -4 2bw'
_cell_length_a 3.905
_cell_length_b 3.905
_cell_length_c 18.517
_cell_angle_alpha 90.00
_cell_angle_beta 90.00
_cell_angle_gamma 90.00
loop_
_atom_site_label
_atom_site_fract_x
_atom_site_fract_y
_atom_site_fract_z
Ti1 0.000 0.000 0.000
Fe1 0.215 0.250 0.125
I1 0.000 0.000 0.500
```

---

Entry 3:
VASP calculation (GGA-PBE) on an optimized crystal structure of Ti3FeI.

Structure (CIF):
```
data_Ti3FeI
_chemical_formula_sum 'Ti3 Fe1 I1'
_symmetry_space_group_name_H-M 'P m -3 m'
_symmetry_Int_Tables_number 221
_symmetry_space_group_name_Hall '-P 4 2 3'
_cell_length_a 4.597
_cell_length_b 4.597
_cell_length_c 4.597
_cell_angle_alpha 90.00
_cell_angle_beta 90.00
_cell_angle_gamma 90.00
loop_
_atom_site_label
_atom_site_fract_x
_atom_site_fract_y
_atom_site_fract_z
Ti1 0.000 0.000 0.500
Fe1 0.000 0.000 0.000
I1 0.500 0.500 0.500
```

---

Entry 4:
VASP calculation (GGA-PBE) on an optimized crystal structure of TiFe2I8.

Structure (CIF):
```
data_TiFe2I8
_chemical_formula_sum 'Ti2 Fe4 I16'
_symmetry_space_group_name_H-M 'C 1 2/m 1'
_symmetry_Int_Tables_number 12
_cell_length_a 13.057
_cell_length_b 10.972
_cell_length_c 6.694
_cell_angle_alpha 90.00
_cell_angle_beta 92.41
_cell_angle_gamma 90.00
loop_
_symmetry_equiv_pos_as_xyz
'x,y,z'
'-x,-y,-z'
'-x,y,-z'
'x,-y,z'
'x+1/2,y+1/2,z'
'-x+1/2,-y+1/2,-z'
'-x+1/2,y+1/2,-z'
'x+1/2,-y+1/2,z'
loop_
_atom_site_label
_atom_site_fract_x
_atom_site_fract_y
_atom_site_fract_z
Ti1 0.000 0.000 0.000
Fe1 0.181 0.000 0.650
I1 0.087 0.189 0.778
I2 0.131 0.500 0.256
I3 0.178 0.000 0.257
```

---

Number 1: uncorrected energy -4.396 eV per atom, total magnetization 1.03 μB/atom, uncorrected formation energy 0.469 eV per atom. Number 2: uncorrected energy -5.897 eV per atom, total magnetization 1.00 μB/atom, uncorrected formation energy 0.695 eV per atom. Number 3: uncorrected energy -6.439 eV per atom, total magnetization 0.00 μB/atom, uncorrected formation energy 0.300 eV per atom. Number 4: uncorrected energy -3.764 eV per atom, total magnetization 0.73 μB/atom, uncorrected formation energy -0.381 eV per atom.